No. 1
# SnSb2HPd (GGA-PBE, optimized geometry)
data_SnSb2HPd
_chemical_formula_sum 'Sn1 Sb2 H1 Pd1'
_symmetry_space_group_name_H-M 'P 4/m m m'
_symmetry_Int_Tables_number 123
_symmetry_space_group_name_Hall '-P 4 2'
_cell_length_a 5.509
_cell_length_b 5.509
_cell_length_c 3.431
_cell_angle_alpha 90.00
_cell_angle_beta 90.00
_cell_angle_gamma 90.00
loop_
_atom_site_label
_atom_site_type_symbol
_atom_site_fract_x
_atom_site_fract_y
_atom_site_fract_z
Sn1 Sn 0.000 0.000 0.000
Sb1 Sb 0.000 0.500 0.500
H1 H 0.500 0.500 0.000
Pd1 Pd 0.500 0.500 0.500
# Total magnetization, μB per atom: 0.000
# E, eV/atom: -4.16
# Density of states at the Fermi level, states/eV per atom: 0.454

No. 2
# Cu5Ru (GGA-PBE, optimized geometry)
data_Cu5Ru
_chemical_formula_sum 'Cu10 Ru2'
_symmetry_space_group_name_H-M 'A m m 2'
_symmetry_Int_Tables_number 38
_cell_length_a 4.314
_cell_length_b 2.531
_cell_length_c 13.627
_cell_angle_alpha 90.00
_cell_angle_beta 90.00
_cell_angle_gamma 90.00
loop_
_symmetry_equiv_pos_as_xyz
'x,y,z'
'-x,-y,z'
'-x,y,z'
'x,-y,z'
'x,y+1/2,z+1/2'
'-x,-y+1/2,z+1/2'
'-x,y+1/2,z+1/2'
'x,-y+1/2,z+1/2'
loop_
_atom_site_label
_atom_site_type_symbol
_atom_site_fract_x
_atom_site_fract_y
_atom_site_fract_z
Cu1 Cu 0.000 0.000 0.000
Cu2 Cu 0.000 0.000 0.331
Cu3 Cu 0.000 0.000 0.665
Cu4 Cu 0.500 0.000 0.219
Cu5 Cu 0.500 0.000 0.558
Ru1 Ru 0.500 0.000 0.888
# E above lowest polymorph, meV/atom: 9.6
# Total magnetization, μB per atom: 0.000
# E, eV/atom: -4.84
# Density of states at the Fermi level, states/eV per atom: 0.365
# Calculated formation energy, eV per formula unit: 0.735

No. 3
# Na4CdIn3O8 (GGA-PBE, optimized geometry)
data_Na4CdIn3O8
_chemical_formula_sum 'Na12 Cd3 In9 O24'
_symmetry_space_group_name_H-M 'R -3 m'
_symmetry_Int_Tables_number 166
_symmetry_space_group_name_Hall '-R 3 2"'
_cell_length_a 6.5980
_cell_length_b 6.5980
_cell_length_c 16.6364
_cell_angle_alpha 90.00
_cell_angle_beta 90.00
_cell_angle_gamma 120.00
loop_
_atom_site_label
_atom_site_type_symbol
_atom_site_fract_x
_atom_site_fract_y
_atom_site_fract_z
Na1 Na 0.0000 0.0000 0.0000
Na2 Na 0.0000 0.5000 0.0000
Cd1 Cd 0.0000 0.0000 0.5000
In1 In 0.0000 0.5000 0.5000
O1 O 0.0000 0.0000 0.2380
O2 O 0.0092 0.5046 0.7608
# Formation energy from raw total energies, eV/atom: -1.470
# Total magnetization, μB per atom: 0.070
# E, eV/atom: -4.85
# Density of states at the Fermi level, states/eV per atom: 0.260

No. 4
# Cs2SiPd (GGA-PBE, optimized geometry)
data_Cs2SiPd
_chemical_formula_sum 'Cs8 Si4 Pd4'
_symmetry_space_group_name_H-M 'F m -3 m'
_symmetry_Int_Tables_number 225
_symmetry_space_group_name_Hall '-F 4 2 3'
_cell_length_a 8.662
_cell_length_b 8.662
_cell_length_c 8.662
_cell_angle_alpha 90.00
_cell_angle_beta 90.00
_cell_angle_gamma 90.00
loop_
_atom_site_label
_atom_site_type_symbol
_atom_site_fract_x
_atom_site_fract_y
_atom_site_fract_z
Cs1 Cs 0.250 0.250 0.250
Si1 Si 0.000 0.000 0.000
Pd1 Pd 0.000 0.000 0.500
# E above lowest polymorph, meV/atom: 729.4
# Formation energy from raw total energies, eV/atom: 0.716
# Total magnetization, μB per atom: 0.500
# E, eV/atom: -2.36
# Density of states at the Fermi level, states/eV per atom: 1.189

Q: What is the formula in the fourth record?
A: Cs2SiPd